# KScNb3 (PBE-GGA, optimized geometry)
# - Energy relative to the elements: 1.855 eV per atom
# - Energy relative to the lowest polymorph listed for this composition: 0.000 eV per atom
# - SG: No. 221
data_KScNb3
_chemical_formula_sum 'K1 Sc1 Nb3'
_symmetry_space_group_name_H-M 'P 1'
_symmetry_Int_Tables_number 1
_symmetry_space_group_name_Hall 'P 1'
_cell_length_a 5.032
_cell_length_b 5.032
_cell_length_c 5.032
_cell_angle_alpha 90.00
_cell_angle_beta 90.00
_cell_angle_gamma 90.00
loop_
_atom_site_label
_atom_site_fract_x
_atom_site_fract_y
_atom_site_fract_z
K1 0.000 0.000 0.000
Sc1 0.500 0.500 0.500
Nb1 0.000 0.500 0.500
Nb2 0.500 0.000 0.500
Nb3 0.500 0.500 0.000


# K3ScNb (PBE-GGA, optimized geometry)
# - Energy relative to the elements: 1.833 eV per atom
# - Energy relative to the lowest polymorph listed for this composition: 0.237 eV per atom
# - SG: No. 221
data_K3ScNb
_chemical_formula_sum 'K3 Sc1 Nb1'
_symmetry_space_group_name_H-M 'P 1'
_symmetry_Int_Tables_number 1
_symmetry_space_group_name_Hall 'P 1'
_cell_length_a 6.672
_cell_length_b 6.672
_cell_length_c 6.672
_cell_angle_alpha 90.00
_cell_angle_beta 90.00
_cell_angle_gamma 90.00
loop_
_atom_site_label
_atom_site_fract_x
_atom_site_fract_y
_atom_site_fract_z
K1 0.000 0.000 0.500
K2 0.000 0.500 0.000
K3 0.500 0.000 0.000
Sc1 0.000 0.000 0.000
Nb1 0.500 0.500 0.500


# K3ScNb (PBE-GGA, optimized geometry)
# - Energy relative to the elements: 1.596 eV per atom
# - Energy relative to the lowest polymorph listed for this composition: 0.000 eV per atom
# - SG: No. 221
data_K3ScNb
_chemical_formula_sum 'K3 Sc1 Nb1'
_symmetry_space_group_name_H-M 'P 1'
_symmetry_Int_Tables_number 1
_symmetry_space_group_name_Hall 'P 1'
_cell_length_a 6.648
_cell_length_b 6.648
_cell_length_c 6.648
_cell_angle_alpha 90.00
_cell_angle_beta 90.00
_cell_angle_gamma 90.00
loop_
_atom_site_label
_atom_site_fract_x
_atom_site_fract_y
_atom_site_fract_z
K1 0.000 0.000 0.500
K2 0.000 0.500 0.000
K3 0.500 0.000 0.000
Sc1 0.500 0.500 0.500
Nb1 0.000 0.000 0.000


# KSc2NbSn (PBE-GGA, optimized geometry)
# - Energy relative to the elements: 0.354 eV per atom
# - SG: No. 123
data_KSc2NbSn
_chemical_formula_sum 'K1 Sc2 Nb1 Sn1'
_symmetry_space_group_name_H-M 'P 1'
_symmetry_Int_Tables_number 1
_symmetry_space_group_name_Hall 'P 1'
_cell_length_a 5.220
_cell_length_b 5.220
_cell_length_c 5.546
_cell_angle_alpha 90.00
_cell_angle_beta 90.00
_cell_angle_gamma 90.00
loop_
_atom_site_label
_atom_site_fract_x
_atom_site_fract_y
_atom_site_fract_z
K1 0.000 0.000 0.000
Sc1 0.000 0.500 0.500
Sc2 0.500 0.000 0.500
Nb1 0.500 0.500 0.500
Sn1 0.500 0.500 0.000


# KSc2TaNb (PBE-GGA, optimized geometry)
# - Energy relative to the elements: 0.953 eV per atom
# - SG: No. 123
data_KSc2TaNb
_chemical_formula_sum 'K1 Sc2 Ta1 Nb1'
_symmetry_space_group_name_H-M 'P 1'
_symmetry_Int_Tables_number 1
_symmetry_space_group_name_Hall 'P 1'
_cell_length_a 5.468
_cell_length_b 5.468
_cell_length_c 4.962
_cell_angle_alpha 90.00
_cell_angle_beta 90.00
_cell_angle_gamma 90.00
loop_
_atom_site_label
_atom_site_fract_x
_atom_site_fract_y
_atom_site_fract_z
K1 0.000 0.000 0.000
Sc1 0.000 0.500 0.500
Sc2 0.500 0.000 0.500
Ta1 0.500 0.500 0.500
Nb1 0.500 0.500 0.000


# KScNb2V (PBE-GGA, optimized geometry)
# - Energy relative to the elements: 2.238 eV per atom
# - SG: No. 123
data_KScNb2V
_chemical_formula_sum 'K1 Sc1 Nb2 V1'
_symmetry_space_group_name_H-M 'P 1'
_symmetry_Int_Tables_number 1
_symmetry_space_group_name_Hall 'P 1'
_cell_length_a 4.766
_cell_length_b 4.766
_cell_length_c 4.346
_cell_angle_alpha 90.00
_cell_angle_beta 90.00
_cell_angle_gamma 90.00
loop_
_atom_site_label
_atom_site_fract_x
_atom_site_fract_y
_atom_site_fract_z
K1 0.000 0.000 0.000
Sc1 0.500 0.500 0.500
Nb1 0.000 0.500 0.000
Nb2 0.500 0.000 0.000
V1 0.000 0.000 0.500


# KNb3Se6 (PBE-GGA, optimized geometry)
# - Uncorrected formation energy: -885 meV per atom
# - SG: No. 11
data_KNb3Se6
_chemical_formula_sum 'K2 Nb6 Se12'
_symmetry_space_group_name_H-M 'P 1'
_symmetry_Int_Tables_number 1
_symmetry_space_group_name_Hall 'P 1'
_cell_length_a 12.769
_cell_length_b 3.514
_cell_length_c 13.698
_cell_angle_alpha 90.00
_cell_angle_beta 95.62
_cell_angle_gamma 90.00
loop_
_atom_site_label
_atom_site_fract_x
_atom_site_fract_y
_atom_site_fract_z
K1 0.181 0.250 0.417
K2 0.819 0.750 0.583
Nb1 0.042 0.750 0.917
Nb2 0.130 0.250 0.729
Nb3 0.454 0.750 0.572
Nb4 0.546 0.250 0.428
Nb5 0.870 0.750 0.271
Nb6 0.958 0.250 0.083
Se1 0.050 0.750 0.214
Se2 0.083 0.750 0.592
Se3 0.147 0.250 0.029
Se4 0.232 0.750 0.839
Se5 0.329 0.250 0.638
Se6 0.397 0.750 0.383
Se7 0.603 0.250 0.617
Se8 0.671 0.750 0.362
Se9 0.768 0.250 0.161
Se10 0.853 0.750 0.971
Se11 0.917 0.250 0.408
Se12 0.950 0.250 0.786


# KNbSe2 (PBE-GGA, optimized geometry)
# - Uncorrected formation energy: -674 meV per atom
# - SG: No. 122
data_KNbSe2
_chemical_formula_sum 'K2 Nb2 Se4'
_symmetry_space_group_name_H-M 'P 1'
_symmetry_Int_Tables_number 1
_symmetry_space_group_name_Hall 'P 1'
_cell_length_a 7.021
_cell_length_b 7.021
_cell_length_c 7.021
_cell_angle_alpha 115.12
_cell_angle_beta 115.12
_cell_angle_gamma 98.69
loop_
_atom_site_label
_atom_site_fract_x
_atom_site_fract_y
_atom_site_fract_z
K1 0.000 0.000 0.000
K2 0.750 0.250 0.500
Nb1 0.250 0.750 0.500
Nb2 0.500 0.500 0.000
Se1 0.207 0.125 0.582
Se2 0.375 0.793 0.918
Se3 0.543 0.625 0.418
Se4 0.875 0.457 0.082


# KNbSe3 (PBE-GGA, optimized geometry)
# - Energy relative to the lowest polymorph listed for this composition: 0.064 eV per atom
# - Uncorrected formation energy: -828 meV per atom
# - SG: No. 15
data_KNbSe3
_chemical_formula_sum 'K4 Nb4 Se12'
_symmetry_space_group_name_H-M 'P 1'
_symmetry_Int_Tables_number 1
_symmetry_space_group_name_Hall 'P 1'
_cell_length_a 9.313
_cell_length_b 9.313
_cell_length_c 6.854
_cell_angle_alpha 91.85
_cell_angle_beta 91.85
_cell_angle_gamma 68.57
loop_
_atom_site_label
_atom_site_fract_x
_atom_site_fract_y
_atom_site_fract_z
K1 0.160 0.840 0.750
K2 0.334 0.666 0.250
K3 0.666 0.334 0.750
K4 0.840 0.160 0.250
Nb1 0.185 0.299 0.882
Nb2 0.299 0.185 0.382
Nb3 0.701 0.815 0.618
Nb4 0.815 0.701 0.118
Se1 0.008 0.595 0.836
Se2 0.055 0.203 0.608
Se3 0.203 0.055 0.108
Se4 0.306 0.416 0.583
Se5 0.405 0.992 0.664
Se6 0.416 0.306 0.083
Se7 0.584 0.694 0.917
Se8 0.595 0.008 0.336
Se9 0.694 0.584 0.417
Se10 0.797 0.945 0.892
Se11 0.945 0.797 0.392
Se12 0.992 0.405 0.164


# K3NbSe4 (PBE-GGA, optimized geometry)
# - Uncorrected formation energy: -1092 meV per atom
# - SG: No. 31
data_K3NbSe4
_chemical_formula_sum 'K6 Nb2 Se8'
_symmetry_space_group_name_H-M 'P 1'
_symmetry_Int_Tables_number 1
_symmetry_space_group_name_Hall 'P 1'
_cell_length_a 12.808
_cell_length_b 6.691
_cell_length_c 6.596
_cell_angle_alpha 90.00
_cell_angle_beta 90.00
_cell_angle_gamma 90.00
loop_
_atom_site_label
_atom_site_fract_x
_atom_site_fract_y
_atom_site_fract_z
K1 0.000 0.177 0.000
K2 0.250 0.271 0.547
K3 0.250 0.729 0.047
K4 0.500 0.823 0.500
K5 0.750 0.271 0.547
K6 0.750 0.729 0.047
Nb1 0.000 0.643 0.432
Nb2 0.500 0.357 0.932
Se1 0.000 0.287 0.497
Se2 0.000 0.674 0.067
Se3 0.167 0.777 0.552
Se4 0.333 0.223 0.052
Se5 0.500 0.326 0.567
Se6 0.500 0.713 0.997
Se7 0.667 0.223 0.052
Se8 0.833 0.777 0.552


# KNb2Se (PBE-GGA, optimized geometry)
# - Uncorrected formation energy: 608 meV per atom
# - SG: No. 122
data_KNb2Se
_chemical_formula_sum 'K2 Nb4 Se2'
_symmetry_space_group_name_H-M 'P 1'
_symmetry_Int_Tables_number 1
_symmetry_space_group_name_Hall 'P 1'
_cell_length_a 10.325
_cell_length_b 10.325
_cell_length_c 10.325
_cell_angle_alpha 153.29
_cell_angle_beta 153.29
_cell_angle_gamma 38.14
loop_
_atom_site_label
_atom_site_fract_x
_atom_site_fract_y
_atom_site_fract_z
K1 0.000 0.000 0.000
K2 0.750 0.250 0.500
Nb1 0.317 0.125 0.692
Nb2 0.375 0.683 0.808
Nb3 0.433 0.625 0.308
Nb4 0.875 0.567 0.192
Se1 0.250 0.750 0.500
Se2 0.500 0.500 0.000


Looking at raw total energy for the records above, in order, we have -28.36, -10.53, -11.71, -26.06, -30.92, -25.49, -122.12, -41.66, -103.05, -72.07, -44.58 eV per cell.